Entry 1:
{"formula": "Zn2IrBr", "functional": "PBE", "state": "relaxed", "lattice": [[4.5517, 0.0000, 0.0000], [2.2759, 3.9419, 0.0000], [2.2759, 1.3140, 3.7165]], "species": ["Br", "Ir", "Zn", "Zn"], "fractional_positions": [[0.5000, 0.5000, 0.5000], [0.7500, 0.7500, 0.7500], [0.0000, 0.0000, 0.0000], [0.2500, 0.2500, 0.2500]], "relative_energy_mev_per_atom": 630.2, "raw_formation_energy_kcal_per_mol_atoms": 12.7, "total_energy_ev_per_cell": -10.88}

---

Entry 2:
{"formula": "NaHg3Pd2", "functional": "PBE", "state": "relaxed", "lattice": [[5.8686, -0.0240, -0.0264], [0.0275, 6.7802, 0.0338], [0.0275, -0.6057, 6.7532]], "species": ["Hg", "Hg", "Hg", "Hg", "Hg", "Hg", "Pd", "Pd", "Pd", "Pd", "Na", "Na"], "fractional_positions": [[0.2501, 0.0545, 0.0545], [0.7500, 0.4389, 0.0779], [0.2500, 0.5611, 0.9221], [0.7499, 0.9455, 0.9455], [0.2500, 0.9221, 0.5611], [0.7500, 0.0779, 0.4389], [0.0000, 0.2345, 0.7655], [0.0000, 0.7655, 0.2345], [0.5000, 0.2345, 0.7655], [0.5000, 0.7655, 0.2345], [0.7500, 0.5968, 0.5968], [0.2500, 0.4032, 0.4032]], "e_form_ev_per_fu": -1.2, "total_energy_ev_per_cell": -27.61}

---

Entry 3:
{"formula": "BaMgBeTl2", "functional": "PBE", "state": "relaxed", "lattice": [[-6.4798, -0.3149, 1.1963], [-0.3234, -5.9697, -3.3231], [1.1971, -3.2047, 5.6405]], "species": ["Tl", "Tl", "Ba", "Mg", "Be"], "fractional_positions": [[0.0000, 0.0000, 0.5000], [0.5000, 0.0000, 0.0000], [0.0000, 0.0000, 0.0000], [0.0000, 0.5000, 0.0000], [0.5000, 0.5000, 0.5000]], "e_form_ev_per_fu": 6.7, "total_energy_ev_per_cell": -5.30}

---

Entry 4:
{"formula": "GePbCl2", "functional": "PBE", "state": "relaxed", "lattice": [[0.0000, 3.6531, 3.6531], [3.6531, 0.0000, 3.6531], [3.6531, 3.6531, 0.0000]], "species": ["Ge", "Cl", "Cl", "Pb"], "fractional_positions": [[0.0000, 0.0000, 0.0000], [0.7500, 0.7500, 0.7500], [0.2500, 0.2500, 0.2500], [0.5000, 0.5000, 0.5000]], "relative_energy_mev_per_atom": 204.8, "raw_formation_energy_kcal_per_mol_atoms": -3.5, "total_energy_ev_per_cell": -12.62}